1.
Tl2AgTe | Alexandria via LeMat-Bulk | PBE | relaxed; formation energy from raw total energies = -34 meV per atom; crystal system = orthorhombic; size of the total moment = 0.00 μB/cell; Fermi-level density of states = 1.6 states/eV/f.u.; polymorph energy (0 for the lowest one) = 38.3 meV per atom
1.0
-2.135 2.147 6.413
2.135 -2.147 6.413
2.135 2.147 -6.413
Tl Ag Te
2 1 1
Direct
0.195 0.195 0.000 Tl
0.805 0.805 0.000 Tl
0.000 0.500 0.500 Ag
0.500 0.000 0.500 Te


2.
TlAg2Te | Alexandria via LeMat-Bulk | PBE | relaxed; formation energy from raw total energies = 37 meV per atom; crystal system = tetragonal; size of the total moment = 0.00 μB/cell; Fermi-level density of states = 1.2 states/eV/f.u.; polymorph energy (0 for the lowest one) = 9.7 meV per atom
1.0
4.272 0.000 0.000
0.000 4.272 0.000
0.000 0.000 11.523
Tl Ag Te
2 4 2
Direct
0.250 0.250 0.206 Tl
0.750 0.750 0.794 Tl
0.250 0.250 0.955 Ag
0.250 0.750 0.500 Ag
0.750 0.250 0.500 Ag
0.750 0.750 0.045 Ag
0.250 0.250 0.674 Te
0.750 0.750 0.326 Te


3.
Tl2AgTe5 | Alexandria via LeMat-Bulk | PBE | relaxed; formation energy from raw total energies = -58 meV per atom; crystal system = triclinic; size of the total moment = 0.00 μB/cell; Fermi-level density of states = 3.3 states/eV/f.u.
1.0
6.625 0.000 0.000
3.015 6.111 0.000
0.765 0.077 7.163
Tl Ag Te
2 1 5
Direct
0.000 0.000 0.000 Tl
0.403 0.208 0.640 Tl
0.662 0.442 0.233 Ag
0.130 0.687 0.401 Te
0.398 0.231 0.141 Te
0.615 0.798 0.987 Te
0.735 0.645 0.549 Te
0.937 0.155 0.514 Te


4.
Tl2AgTe6 | Alexandria via LeMat-Bulk | PBE | relaxed; formation energy from raw total energies = -63 meV per atom; crystal system = monoclinic; size of the total moment = 0.00 μB/cell; Fermi-level density of states = 2.1 states/eV/f.u.
1.0
2.318 -6.667 0.000
2.318 6.667 0.000
-2.281 0.000 9.906
Tl Ag Te
2 1 6
Direct
0.150 0.850 0.000 Tl
0.850 0.150 0.000 Tl
0.000 0.000 0.500 Ag
0.158 0.497 0.710 Te
0.241 0.241 0.276 Te
0.497 0.158 0.710 Te
0.503 0.842 0.290 Te
0.759 0.759 0.724 Te
0.842 0.503 0.290 Te